1.
Below is a geometry-optimized La2NdHgTe5 structure, with properties calculated at the PBE-GGA level.

Summary:
E: -4.63 eV per atom
D(E_F): 0.3775 states/eV per atom
Raw formation energy: -1.2267 eV/atom

Structure (CIF):
```
data_La2NdHgTe5
_cell_length_a 9.850
_cell_length_b 9.850
_cell_length_c 13.743
_cell_angle_alpha 90.00
_cell_angle_beta 90.00
_cell_angle_gamma 153.63
_space_group_name_H-M_alt 'P 1'
_space_group_IT_number 1
_space_group_name_Hall 'P 1'
loop_
_atom_site_label
_atom_site_type_symbol
_atom_site_fract_x
_atom_site_fract_y
_atom_site_fract_z
_atom_site_occupancy
La1 La 0.122 0.878 0.500 1
La2 La 0.126 0.874 0.122 1
La3 La 0.874 0.126 0.622 1
La4 La 0.878 0.122 0.000 1
Nd1 Nd 0.190 0.810 0.818 1
Nd2 Nd 0.810 0.190 0.318 1
Hg1 Hg 0.439 0.561 0.286 1
Hg2 Hg 0.561 0.439 0.786 1
Te1 Te 0.037 0.963 0.912 1
Te2 Te 0.294 0.706 0.483 1
Te3 Te 0.300 0.700 0.149 1
Te4 Te 0.357 0.643 0.815 1
Te5 Te 0.496 0.504 0.096 1
Te6 Te 0.504 0.496 0.596 1
Te7 Te 0.643 0.357 0.315 1
Te8 Te 0.700 0.300 0.649 1
Te9 Te 0.706 0.294 0.983 1
Te10 Te 0.963 0.037 0.412 1
```

2.
Below is a geometry-optimized Tm8GeOs2 structure, with properties calculated at the PBE-GGA level.

Summary:
E: -6.01 eV per atom
D(E_F): 0.7584 states/eV per atom
Energy relative to the elements: -293 meV per atom

Structure (CIF):
```
data_Tm8GeOs2
_cell_length_a 7.634
_cell_length_b 7.634
_cell_length_c 5.543
_cell_angle_alpha 98.94
_cell_angle_beta 98.94
_cell_angle_gamma 112.27
_space_group_name_H-M_alt 'P 1'
_space_group_IT_number 1
_space_group_name_Hall 'P 1'
loop_
_atom_site_label
_atom_site_type_symbol
_atom_site_fract_x
_atom_site_fract_y
_atom_site_fract_z
_atom_site_occupancy
Tm1 Tm 0.000 0.000 0.000 1
Tm2 Tm 0.044 0.309 0.615 1
Tm3 Tm 0.147 0.614 0.199 1
Tm4 Tm 0.309 0.044 0.615 1
Tm5 Tm 0.448 0.715 0.800 1
Tm6 Tm 0.614 0.147 0.199 1
Tm7 Tm 0.715 0.448 0.800 1
Tm8 Tm 0.751 0.751 0.393 1
Ge1 Ge 0.378 0.378 0.091 1
Os1 Os 0.065 0.691 0.698 1
Os2 Os 0.691 0.065 0.698 1
```

3.
Below is a geometry-optimized ZrInTe2 structure, with properties calculated at the PBE-GGA level.

Summary:
E: -4.53 eV per atom
D(E_F): 0.8519 states/eV per atom
Raw formation energy: -0.1355 eV/atom

Structure (CIF):
```
data_ZrInTe2
_cell_length_a 6.217
_cell_length_b 6.217
_cell_length_c 6.217
_cell_angle_alpha 138.65
_cell_angle_beta 138.65
_cell_angle_gamma 59.90
_space_group_name_H-M_alt 'P 1'
_space_group_IT_number 1
_space_group_name_Hall 'P 1'
loop_
_atom_site_label
_atom_site_type_symbol
_atom_site_fract_x
_atom_site_fract_y
_atom_site_fract_z
_atom_site_occupancy
Zr1 Zr 0.000 0.000 0.000 1
In1 In 0.250 0.750 0.500 1
Te1 Te 0.500 0.500 0.000 1
Te2 Te 0.750 0.250 0.500 1
```

> Which value of D(E_F) does entry 2 give?

0.7584 states/eV per atom